Material: Sm3ErPb12
Method: DFT, PBE
State: optimized geometry

Calculated values
Crystal system: tetragonal
Final energy (eV per atom): -4.274
Magnetization (μB/cell): 0.00

Unit cell a=4.9318 b=4.9318 c=19.3569 alpha=90.00 beta=90.00 gamma=90.00
Closest atoms and distances in Å follow each position.
Space group P4/mmm (No. 123)
Asymmetric unit:
Sm  0.0000  0.0000  0.0000 [1 per cell]  12 Pb 3.46-3.49
Sm  0.0000  0.0000  0.2507 [2 per cell]  12 Pb 3.46-3.49
Er  0.0000  0.0000  0.5000 [1 per cell]  12 Pb 3.42-3.49
Pb  0.0000  0.5000  0.1255 [4 per cell]  4 Sm 3.46, 8 Pb 3.46-3.49
Pb  0.0000  0.5000  0.3774 [4 per cell]  8 Pb 3.42-3.49, 2 Er 3.42, 2 Sm 3.48
Pb  0.5000  0.5000  0.0000 [1 per cell]  8 Pb 3.46, 4 Sm 3.49
Pb  0.5000  0.5000  0.2513 [2 per cell]  8 Pb 3.47, 4 Sm 3.49
Pb  0.5000  0.5000  0.5000 [1 per cell]  8 Pb 3.42, 4 Er 3.49

Material: Sm12Er7Pb
Method: DFT, PBE
State: optimized geometry

Calculated values
Crystal system: trigonal
Final energy (eV per atom): -4.471
Magnetization (μB/cell): 2.80

Unit cell a=12.2045 b=12.2045 c=15.2378 alpha=90.00 beta=90.00 gamma=120.00
Closest atoms and distances in Å follow each position.
Space group R-3 (No. 148, hexagonal axes)
Asymmetric unit:
Sm  0.0245  0.4461  0.2077 [18 per cell]  5 Sm 3.25-3.59, 1 Pb 3.42, 1 Er 3.55
Sm  0.0577  0.5894  0.5867 [18 per cell]  2 Er 3.24-3.53, 4 Sm 3.25-3.48
Er  0.0000  0.0000  0.0000 [3 per cell]  6 Sm 3.24
Er  0.0477  0.1854  0.3050 [18 per cell]  3 Er 3.43-3.52, 7 Sm 3.53-3.83, 1 Pb 3.60
Pb  0.0000  0.0000  0.5000 [3 per cell]  6 Sm 3.42, 6 Er 3.60

final energy of number 1 (Sm3ErPb12)? -4.274 eV per atom